[1]
# ZnPPdCl2 SCAN PBEsol geometry
data_ZnPPdCl2
_chemical_formula_sum 'Zn1 P1 Pd1 Cl2'
_cell_length_a 4.7699
_cell_length_b 4.7699
_cell_length_c 4.6514
_cell_angle_alpha 90.00
_cell_angle_beta 90.00
_cell_angle_gamma 90.00
_symmetry_space_group_name_H-M 'P 4/m m m'
_symmetry_Int_Tables_number 123
_symmetry_space_group_name_Hall '-P 4 2'
loop_
_atom_site_label
_atom_site_type_symbol
_atom_site_fract_x
_atom_site_fract_y
_atom_site_fract_z
Zn1 Zn 0.0000 0.0000 0.0000
P1 P 0.5000 0.5000 0.0000
Pd1 Pd 0.5000 0.5000 0.5000
Cl1 Cl 0.0000 0.5000 0.5000
# offset from the most stable computed form = 0 meV per atom
# ρ = 4.29 g/cm3
# final energy = -14.330 eV/atom
# crystal system = tetragonal



[2]
# MnFeBr SCAN PBEsol geometry
data_MnFeBr
_chemical_formula_sum 'Mn2 Fe2 Br2'
_cell_length_a 3.0292
_cell_length_b 3.0292
_cell_length_c 10.7585
_cell_angle_alpha 90.00
_cell_angle_beta 90.00
_cell_angle_gamma 90.00
_symmetry_space_group_name_H-M 'I 4 m m'
_symmetry_Int_Tables_number 107
_symmetry_space_group_name_Hall 'I 4 -2'
loop_
_atom_site_label
_atom_site_type_symbol
_atom_site_fract_x
_atom_site_fract_y
_atom_site_fract_z
Mn1 Mn 0.0000 0.0000 0.0000
Fe1 Fe 0.0000 0.0000 0.3568
Br1 Br 0.0000 0.0000 0.7111
# ρ = 6.42 g/cm3
# final energy = -18.316 eV/atom
# crystal system = tetragonal



[3]
# BeCo2Se SCAN PBEsol geometry
data_BeCo2Se
_chemical_formula_sum 'Be3 Co6 Se3'
_cell_length_a 2.7901
_cell_length_b 2.7901
_cell_length_c 20.0571
_cell_angle_alpha 90.00
_cell_angle_beta 90.00
_cell_angle_gamma 120.00
_symmetry_space_group_name_H-M 'R -3 m'
_symmetry_Int_Tables_number 166
_symmetry_space_group_name_Hall '-R 3 2"'
loop_
_atom_site_label
_atom_site_type_symbol
_atom_site_fract_x
_atom_site_fract_y
_atom_site_fract_z
Be1 Be 0.0000 0.0000 0.0000
Co1 Co 0.0000 0.0000 0.2560
Se1 Se 0.0000 0.0000 0.5000
# offset from the most stable computed form = 242 meV per atom
# ρ = 7.58 g/cm3
# final energy = -14.383 eV/atom
# crystal system = trigonal